CrMo2Ir | PBE | relaxed

a = 6.1767 Å, b = 6.1767 Å, c = 6.1767 Å
α = 90.00°, β = 90.00°, γ = 90.00°
Space group Fm-3m (No. 225)
Symmetry-distinct sites (fractional):
Cr  0.0000  0.0000  0.0000 [4 per cell]
Mo  0.2500  0.2500  0.2500 [8 per cell]
Ir  0.0000  0.0000  0.5000 [4 per cell]

- relative energy among the computed polymorphs (meV per atom) = 191
- crystal system = cubic
- electronic total energy (eV/atom) = -9.83
- calculated formation energy (eV/f.u.) = 0.829